Compound: LiSmBiPd
Source: Alexandria via LeMat-Bulk
Functional: PBE
Structure: relaxed

It has space group F-43m (No. 216), with a = 7.0047 Å, b = 7.0047 Å, c = 7.0047 Å, α = 90.00°, β = 90.00° and γ = 90.00°. The asymmetric unit holds Li at (0.0000, 0.0000, 0.0000), Sm at (0.2500, 0.2500, 0.2500), Bi at (0.2500, 0.2500, 0.7500) and Pd at (0.0000, 0.0000, 0.5000).

The value obtained for the calculated volume is 21.48 Å³ per atom. The spin magnetization is 0.00 μB/f.u. As for the crystal system: cubic. The energy of formation comes out at -0.600 eV per atom. As for the density of states at the Fermi level: 8.80 states/eV per cell.